# 1
A plane-wave DFT calculation with PBE was carried out for PmAlIrO6 after structural relaxation.

Uncorrected energy   -7.299 eV/atom

Cell lengths 5.073, 5.093, 5.093 Å; angles 120.00, 90.00, 90.00 degrees
Positions (direct):
Pm 0.000 0.333 0.667
Al 0.500 0.667 0.333
Ir 0.500 0.000 0.000
O 0.710 0.698 0.662
O 0.710 0.338 0.036
O 0.710 0.964 0.302
O 0.290 0.338 0.302
O 0.290 0.698 0.036
O 0.290 0.964 0.662

---

# 2
A plane-wave DFT calculation with PBE was carried out for PmAl2IrO8 after structural relaxation.

Uncorrected energy   -7.042 eV/atom

Cell lengths 4.641, 4.630, 6.347 Å; angles 90.00, 90.00, 89.23 degrees
Positions (direct):
Pm 0.000 0.000 0.500
Al 0.500 0.500 0.757
Al 0.500 0.500 0.243
Ir 0.000 0.000 0.000
O 0.214 0.783 0.211
O 0.700 0.703 0.000
O 0.786 0.217 0.211
O 0.786 0.217 0.789
O 0.300 0.297 0.000
O 0.214 0.783 0.789
O 0.662 0.665 0.500
O 0.338 0.335 0.500

---

# 3
A plane-wave DFT calculation with PBE was carried out for Pm2AlIrO6 after structural relaxation.

Uncorrected energy   -7.622 eV/atom

Cell lengths 5.320, 5.695, 7.792 Å; angles 90.00, 90.00, 90.00 degrees
Positions (direct):
Pm 0.500 0.775 0.227
Pm 0.000 0.225 0.727
Pm 0.500 0.775 0.773
Pm 0.000 0.225 0.273
Al 0.500 0.247 0.500
Al 0.000 0.753 0.000
Ir 0.000 0.738 0.500
Ir 0.500 0.262 0.000
O 0.500 0.219 0.260
O 0.500 0.219 0.740
O 0.000 0.781 0.240
O 0.000 0.781 0.760
O 0.245 0.012 0.500
O 0.755 0.012 0.500
O 0.240 0.458 0.500
O 0.760 0.458 0.500
O 0.740 0.542 0.000
O 0.260 0.542 0.000
O 0.255 0.988 0.000
O 0.745 0.988 0.000

---

# 4
A plane-wave DFT calculation with PBE was carried out for PrAl2IrO8 after structural relaxation.

Uncorrected energy   -7.008 eV/atom

Cell lengths 4.649, 4.631, 6.421 Å; angles 90.00, 90.00, 89.00 degrees
Positions (direct):
Pr 0.000 0.000 0.500
Al 0.500 0.500 0.761
Al 0.500 0.500 0.239
Ir 0.000 0.000 0.000
O 0.214 0.781 0.208
O 0.700 0.704 0.000
O 0.786 0.219 0.208
O 0.786 0.219 0.792
O 0.300 0.296 0.000
O 0.214 0.781 0.792
O 0.657 0.662 0.500
O 0.343 0.338 0.500

---

| no. | V (Å³ per atom) |
| --- | --- |
| 1 | 12.66 |
| 2 | 11.36 |
| 3 | 11.80 |
| 4 | 11.52 |